(1)
Below is a relaxed structure of Ba2BMo, with properties calculated at the PBE-GGA level.

```
8
Lattice="-5.8099 5.8099 2.1221 5.8099 -5.8099 2.1221 5.8099 5.8099 -2.1221" Properties=species:S:1:pos:R:3 pbc="T T T"
Ba 0.7706 2.9050 0.5305
Ba -2.9050 5.0394 1.5916
Ba -0.7706 8.7149 0.5305
Ba 2.9050 6.5805 1.5916
B 0.0000 0.0000 0.0000
B 0.0000 5.8099 1.0610
Mo 5.8099 0.0000 1.0610
Mo 0.0000 0.0000 2.1221
```

Computed properties:
The final energy comes out at -36.89 eV/cell. The space group is No. 122.

***

(2)
Below is a relaxed structure of Ho3OsPd2, with properties calculated at the PBE-GGA level.

```
12
Lattice="2.4328 -7.2915 0.0000 2.4328 7.2915 0.0000 0.0000 0.0000 6.9884" Properties=species:S:1:pos:R:3 pbc="T T T"
Ho 0.0000 0.0000 1.7002
Ho 0.0000 0.0000 5.2882
Ho 2.4328 2.4742 1.6782
Ho 2.4328 2.4742 5.3102
Ho 2.4328 -2.4742 1.6782
Ho 2.4328 -2.4742 5.3102
Os 2.4328 4.8849 0.0000
Os 2.4328 -4.8849 0.0000
Pd 2.4328 4.8629 3.4942
Pd 2.4328 0.0000 0.0000
Pd 2.4328 0.0000 3.4942
Pd 2.4328 -4.8629 3.4942
```

Computed properties:
The final energy comes out at -79.06 eV/cell. The space group is No. 65.

***

(3)
Below is a relaxed structure of Cs2CuBrCl3, with properties calculated at the PBE-GGA level.

```
7
Lattice="-2.6037 2.6037 8.4653 2.6037 -2.6037 8.4653 2.6037 2.6037 -8.4653" Properties=species:S:1:pos:R:3 pbc="T T T"
Cs 0.0000 0.0000 0.0000
Cs 0.0000 0.0000 4.6670
Cu 0.0000 0.0000 10.7344
Br 0.0000 0.0000 13.2273
Cl 2.6037 0.0000 2.3058
Cl 0.0000 0.0000 8.4125
Cl 0.0000 2.6037 2.3058
```

Computed properties:
Its energy above the most stable polymorph in this dataset is 0 meV/atom. The space group is No. 107.

***

(4)
Below is a relaxed structure of PmHo2Co6, with properties calculated at the PBE-GGA level.

```
9
Lattice="6.6745 0.0000 0.0000 -3.3373 5.7803 0.0000 0.0000 0.0000 4.0690" Properties=species:S:1:pos:R:3 pbc="T T T"
Pm 0.0000 0.0000 0.0000
Ho 0.0000 3.8535 0.0000
Ho 3.3373 1.9268 0.0000
Co -1.1181 1.9367 2.0345
Co -2.2191 3.8436 2.0345
Co 2.2363 0.0000 2.0345
Co 1.1181 1.9367 2.0345
Co 4.4382 0.0000 2.0345
Co 2.2191 3.8436 2.0345
```

Computed properties:
The final energy comes out at -57.97 eV/cell. The space group is No. 191.

***

(5)
Below is a relaxed structure of AsPb4S6, with properties calculated at the PBE-GGA level.

```
22
Lattice="7.9595 -3.6850 0.0000 7.9595 3.6850 0.0000 -6.8821 0.0000 11.5439" Properties=species:S:1:pos:R:3 pbc="T T T"
As 4.5185 2.0608 5.7719
As 7.9595 -2.0608 0.0000
Pb 1.8948 2.5475 8.3430
Pb 3.0514 0.7803 2.5887
Pb 8.2216 1.4239 1.0641
Pb -0.3896 -0.7803 8.3606
Pb 8.8224 0.5830 4.7509
Pb 4.7806 -1.4239 6.8361
Pb 5.3358 -2.5475 2.5711
Pb 5.3814 -0.5830 10.5229
S -2.0933 0.1764 5.2005
S 2.1636 1.8805 4.9854
S 5.4189 2.3915 1.3822
S -5.5343 -0.1764 10.9724
S 4.8878 1.7492 8.0328
S 5.3843 0.3127 4.6197
S 10.4671 1.6989 2.8351
S 1.9433 -0.3127 10.3917
S -1.2774 -1.8805 10.7573
S 1.9778 -2.3915 7.1542
S 8.3288 -1.7492 2.2608
S 7.0261 -1.6989 8.6071
```

Computed properties:
The final energy comes out at -95.07 eV/cell. The space group is No. 9.

***

(6)
Below is a relaxed structure of Ba2NaSrGa, with properties calculated at the PBE-GGA level.

```
5
Lattice="6.5740 0.0000 0.0000 0.0000 6.5740 0.0000 0.0000 0.0000 5.9343" Properties=species:S:1:pos:R:3 pbc="T T T"
Ba 0.0000 3.2870 0.0000
Ba 3.2870 0.0000 0.0000
Na 0.0000 0.0000 2.9671
Sr 3.2870 3.2870 2.9671
Ga 0.0000 0.0000 0.0000
```

Computed properties:
Its energy above the most stable polymorph in this dataset is 83 meV/atom. The space group is No. 123.

***

(7)
Below is a relaxed structure of DyAl4Ge, with properties calculated at the PBE-GGA level.

```
6
Lattice="0.0000 3.8716 3.8716 3.8716 0.0000 3.8716 3.8716 3.8716 0.0000" Properties=species:S:1:pos:R:3 pbc="T T T"
Dy 0.0000 0.0000 0.0000
Al 2.9045 2.9045 2.9045
Al 4.8388 4.8388 2.9045
Al 4.8388 2.9045 4.8388
Al 2.9045 4.8388 4.8388
Ge 5.8075 5.8075 5.8075
```

Computed properties:
The final energy comes out at -25.09 eV/cell. The space group is No. 216.

***

(8)
Below is a relaxed structure of NiC2, with properties calculated at the PBE-GGA level.

```
6
Lattice="-1.2447 1.7597 7.6943 1.2447 -1.7597 7.6943 1.2447 1.7597 -7.6943" Properties=species:S:1:pos:R:3 pbc="T T T"
Ni 0.0000 0.8798 0.7988
Ni 1.2447 0.8798 6.8955
C 1.2447 0.8798 2.1055
C 1.2447 0.8798 3.4814
C 0.0000 0.8798 4.2129
C 0.0000 0.8798 5.5889
```

Computed properties:
Its energy above the most stable polymorph in this dataset is 260 meV/atom. The space group is No. 74.

***

(9)
Below is a relaxed structure of PaTcPt, with properties calculated at the PBE-GGA level.

```
6
Lattice="1.6991 -7.6541 0.0000 1.6991 7.6541 0.0000 0.0000 0.0000 4.5550" Properties=species:S:1:pos:R:3 pbc="T T T"
Pa 1.6991 5.9157 3.4163
Pa 1.6991 -5.9157 1.1388
Tc 1.6991 3.6005 3.4163
Tc 1.6991 -3.6005 1.1388
Pt 1.6991 0.7925 3.4163
Pt 1.6991 -0.7925 1.1388
```

Computed properties:
Its energy above the most stable polymorph in this dataset is 33 meV/atom. The space group is No. 63.

***

(10)
Below is a relaxed structure of Nd4Dy8Ho, with properties calculated at the PBE-GGA level.

```
13
Lattice="5.5270 3.1910 4.4969 -5.5270 3.1910 4.4969 0.0000 -6.3820 4.4969" Properties=species:S:1:pos:R:3 pbc="T T T"
Nd 0.0000 0.0000 0.0000
Nd -2.7635 -1.5955 4.4969
Nd -2.7635 1.5955 8.9938
Nd 0.0000 3.1910 4.4969
Dy 0.0000 0.0000 3.2365
Dy 0.0000 -3.3115 5.5691
Dy -2.8678 1.6557 5.5691
Dy -2.8678 -1.6557 7.9216
Dy 2.8678 1.6557 5.5691
Dy 2.8678 -1.6557 7.9216
Dy 0.0000 3.3115 7.9216
Dy 0.0000 0.0000 10.2542
Ho 0.0000 0.0000 6.7454
```

Computed properties:
The final energy comes out at -53.80 eV/cell. The space group is No. 166.

***

(11)
Below is a relaxed structure of Pr6SbP3Se2, with properties calculated at the PBE-GGA level.

```
12
Lattice="9.3844 -2.1336 0.0000 9.3844 2.1336 0.0000 -2.1157 0.0000 8.3614" Properties=species:S:1:pos:R:3 pbc="T T T"
Pr -0.4448 0.0000 1.9687
Pr 5.2470 0.0000 3.5536
Pr 4.4179 0.0000 7.5766
Pr 12.2353 0.0000 0.7848
Pr 11.4062 0.0000 4.8079
Pr 17.0980 0.0000 6.3928
Sb 8.3266 0.0000 4.1807
P 2.4224 0.0000 2.7747
P 9.3844 0.0000 0.0000
P 14.2308 0.0000 5.5868
Se 1.3931 0.0000 6.9949
Se 15.2601 0.0000 1.3665
```

Computed properties:
The final energy comes out at -75.45 eV/cell. The space group is No. 12.

***

(12)
Below is a relaxed structure of LaPbSe2, with properties calculated at the PBE-GGA level.

```
4
Lattice="3.7704 0.0000 0.0000 0.0000 3.8866 0.0000 -0.0133 0.0000 8.0483" Properties=species:S:1:pos:R:3 pbc="T T T"
La 0.0000 0.0000 0.0000
Pb 1.8785 0.0000 4.0241
Se 1.8712 1.9433 6.4077
Se 1.8858 1.9433 1.6406
```

Computed properties:
The final energy comes out at -20.57 eV/cell. The space group is No. 10.

***

(13)
Below is a relaxed structure of LaNdZn2, with properties calculated at the PBE-GGA level.

```
4
Lattice="0.0000 3.7214 3.7214 3.7214 0.0000 3.7214 3.7214 3.7214 0.0000" Properties=species:S:1:pos:R:3 pbc="T T T"
La 0.0000 0.0000 0.0000
Nd 3.7214 3.7214 3.7214
Zn 1.8607 1.8607 1.8607
Zn 5.5820 5.5820 5.5820
```

Computed properties:
Its energy above the most stable polymorph in this dataset is 0 meV/atom. The space group is No. 225.

***

(14)
Below is a relaxed structure of KTlAsPb, with properties calculated at the PBE-GGA level.

```
4
Lattice="0.0000 3.9037 3.9037 3.9037 0.0000 3.9037 3.9037 3.9037 0.0000" Properties=species:S:1:pos:R:3 pbc="T T T"
K 0.0000 0.0000 0.0000
Tl 1.9519 1.9519 1.9519
As 5.8556 5.8556 5.8556
Pb 3.9037 3.9037 3.9037
```

Computed properties:
The final energy comes out at -11.86 eV/cell. The space group is No. 216.

***

(15)
Below is a relaxed structure of BeGaNiRu, with properties calculated at the PBE-GGA level.

```
4
Lattice="0.0000 2.8605 2.8605 2.8605 0.0000 2.8605 2.8605 2.8605 0.0000" Properties=species:S:1:pos:R:3 pbc="T T T"
Be 0.0000 0.0000 0.0000
Ga 2.8605 2.8605 2.8605
Ni 4.2908 4.2908 4.2908
Ru 1.4303 1.4303 1.4303
```

Computed properties:
Its energy above the most stable polymorph in this dataset is 19 meV/atom. The space group is No. 216.

***

(16)
Below is a relaxed structure of GaC, with properties calculated at the PBE-GGA level.

```
4
Lattice="2.2630 -4.0071 0.0000 2.2630 4.0071 0.0000 0.0000 0.0000 4.3489" Properties=species:S:1:pos:R:3 pbc="T T T"
Ga 2.2630 2.5865 0.0000
Ga 2.2630 -2.5865 0.0000
C 0.0000 0.0000 1.5401
C 0.0000 0.0000 2.8088
```

Computed properties:
Its energy above the most stable polymorph in this dataset is 431 meV/atom. The space group is No. 65.

***

(17)
Below is a relaxed structure of Tl2OsAu, with properties calculated at the PBE-GGA level.

```
4
Lattice="4.7192 -1.5559 0.0000 4.7192 1.5559 0.0000 -1.0829 0.0000 5.5638" Properties=species:S:1:pos:R:3 pbc="T T T"
Tl 2.0459 0.0000 1.3316
Tl 6.3097 0.0000 4.2321
Os 4.7192 0.0000 0.0000
Au -0.5414 0.0000 2.7819
```

Computed properties:
Its energy above the most stable polymorph in this dataset is 229 meV/atom. The space group is No. 12.

***

(18)
Below is a relaxed structure of SrCrRe2, with properties calculated at the PBE-GGA level.

```
4
Lattice="2.8135 0.0000 0.0000 0.0000 3.8405 0.0000 -1.0248 0.0000 7.1815" Properties=species:S:1:pos:R:3 pbc="T T T"
Sr 0.0000 0.0000 0.0000
Cr -0.5124 0.0000 3.5908
Re 0.4982 1.9203 4.7605
Re 1.2905 1.9203 2.4210
```

Computed properties:
Its energy above the most stable polymorph in this dataset is 157 meV/atom. The space group is No. 10.

***

(19)
Below is a relaxed structure of HoMgGaCo, with properties calculated at the PBE-GGA level.

```
4
Lattice="0.0000 3.3249 3.3249 3.3249 0.0000 3.3249 3.3249 3.3249 0.0000" Properties=species:S:1:pos:R:3 pbc="T T T"
Ho 0.0000 0.0000 0.0000
Mg 3.3249 3.3249 3.3249
Ga 4.9874 4.9874 4.9874
Co 1.6625 1.6625 1.6625
```

Computed properties:
The final energy comes out at -17.05 eV/cell. The space group is No. 216.

***

(20)
Below is a relaxed structure of FeGe2Os, with properties calculated at the PBE-GGA level.

```
4
Lattice="0.0000 2.9948 2.9948 2.9948 0.0000 2.9948 2.9948 2.9948 0.0000" Properties=species:S:1:pos:R:3 pbc="T T T"
Fe 0.0000 0.0000 0.0000
Ge 1.4974 1.4974 1.4974
Ge 4.4922 4.4922 4.4922
Os 2.9948 2.9948 2.9948
```

Computed properties:
Its energy above the most stable polymorph in this dataset is 0 meV/atom. The space group is No. 225.

***

(21)
Below is a relaxed structure of ZrF4, with properties calculated at the PBE-GGA level.

```
20
Lattice="5.6665 0.0000 0.0000 0.0000 5.7072 0.0000 -2.1861 0.0000 7.7821" Properties=species:S:1:pos:R:3 pbc="T T T"
Zr 0.8257 0.9382 1.3256
Zr -0.2674 1.9154 5.2167
Zr 3.7478 3.7918 2.5654
Zr 2.6547 4.7691 6.4565
F -1.5218 0.2491 5.5129
F -0.4288 2.6045 1.6218
F -0.3331 3.7376 4.0428
F 0.7599 4.8232 0.1517
F 0.7722 1.3530 3.5249
F -0.3208 1.5007 7.4160
F 1.1335 0.2557 5.7315
F 2.2265 2.5979 1.8404
F 1.2539 3.1094 5.9417
F 2.3469 5.4515 2.0506
F 3.8012 4.2066 0.3661
F 2.7082 4.3543 4.2572
F 2.7205 0.8840 7.6304
F 3.8135 1.9696 3.7393
F 3.9092 3.1027 6.1602
F 5.0022 5.4581 2.2692
```

Computed properties:
The final energy comes out at -137.40 eV/cell. The space group is No. 14.

***

(22)
Below is a relaxed structure of Sr2Al4Ga3Si, with properties calculated at the PBE-GGA level.

```
10
Lattice="4.4620 0.0000 0.0000 0.0000 4.4620 0.0000 0.0000 0.0000 10.7974" Properties=species:S:1:pos:R:3 pbc="T T T"
Sr 0.0000 2.2310 2.6543
Sr 2.2310 0.0000 8.1432
Al 0.0000 0.0000 5.3987
Al 0.0000 2.2310 9.4323
Al 2.2310 0.0000 1.3651
Al 2.2310 2.2310 5.3987
Ga 0.0000 0.0000 0.0000
Ga 0.0000 2.2310 6.8544
Ga 2.2310 0.0000 3.9430
Si 2.2310 2.2310 0.0000
```

Computed properties:
The final energy comes out at -35.93 eV/cell. The space group is No. 115.

***

(23)
Below is a relaxed structure of Ca2Sm2ZnPt4, with properties calculated at the PBE-GGA level.

```
9
Lattice="-3.4631 3.4631 4.3152 3.4631 -3.4631 4.3152 3.4631 3.4631 -4.3152" Properties=species:S:1:pos:R:3 pbc="T T T"
Ca 3.4631 0.0000 2.1576
Ca 0.0000 3.4631 2.1576
Sm 0.0000 0.0000 1.6170
Sm 0.0000 0.0000 7.0134
Zn 0.0000 0.0000 4.3152
Pt 1.6826 1.6826 0.0000
Pt 1.7805 -1.7805 4.3152
Pt -1.7805 1.7805 4.3152
Pt 1.7805 1.7805 4.3152
```

Computed properties:
The final energy comes out at -44.42 eV/cell. The space group is No. 139.

***

(24)
Below is a relaxed structure of La6PmSm2Er, with properties calculated at the PBE-GGA level.

```
10
Lattice="5.7633 -3.4964 0.0000 5.7633 3.4964 0.0000 -2.7785 0.0000 8.8605" Properties=species:S:1:pos:R:3 pbc="T T T"
La 2.9552 1.6179 1.7144
La 0.3129 0.0000 3.7410
La 5.7930 1.6179 7.1461
La 2.9552 -1.6179 1.7144
La 8.4352 0.0000 5.1195
La 5.7930 -1.6179 7.1461
Pm 4.3741 0.0000 4.4303
Sm 2.6078 0.0000 7.3567
Sm 6.1403 0.0000 1.5038
Er 0.0000 0.0000 0.0000
```

Computed properties:
The final energy comes out at -46.47 eV/cell. The space group is No. 12.

***

| no. | density (g cm⁻³) | spin magnetization (μB/f.u.) |
| --- | --- | --- |
| 1 | 4.42 | 1.1 |
| 2 | 12.03 | 0.0 |
| 3 | 3.73 | 0.8 |
| 4 | 8.76 | 4.4 |
| 5 | 5.38 | 0.0 |
| 6 | 2.95 | 0.0 |
| 7 | 4.91 | 0.0 |
| 8 | 4.08 | 0.0 |
| 9 | 14.69 | 0.0 |
| 10 | 7.13 | 1.5 |
| 11 | 6.04 | 0.0 |
| 12 | 7.10 | 0.0 |
| 13 | 6.67 | 0.0 |
| 14 | 7.34 | 0.0 |
| 15 | 8.46 | 0.0 |
| 16 | 3.44 | 0.0 |
| 17 | 16.18 | 0.8 |
| 18 | 10.96 | 0.0 |
| 19 | 7.18 | 1.0 |
| 20 | 12.10 | 0.0 |
| 21 | 4.41 | 0.0 |
| 22 | 4.02 | 0.0 |
| 23 | 9.84 | 0.0 |
| 24 | 6.73 | 0.0 |